Na2As2S5: relaxed, PBE.

Cell lengths 4.553, 7.241, 7.467 Å; angles 103.72, 107.11, 99.68 degrees
Space group P-1 (No. 2)
Asymmetric unit:
Na: 0.004 0.206 0.388
As: 0.231 0.735 0.174
S: 0.122 0.470 0.772
S: 0.148 0.112 0.976
S: 0.500 0.000 0.500

As for the total magnetization: 0.0 μB per formula unit. The energy above the most stable polymorph in this dataset is 0 meV per atom. The uncorrected formation energy is -0.43 eV/atom. The mass density is 2.68 Mg/m³.

KMnIn: relaxed, PBE.

Cell lengths 3.210, 4.422, 12.611 Å; angles 90.00, 90.00, 90.00 degrees
Space group Imm2 (No. 44)
Asymmetric unit:
K: 0.000 0.000 0.000
Mn: 0.000 0.000 0.731
In: 0.000 0.000 0.280

As for the total magnetization: 3.9 μB per formula unit. The energy above the most stable polymorph in this dataset is 0 meV per atom. The mass density is 3.87 Mg/m³. As for the formation energy: 0.371 eV per atom.

Ba2TlSe: relaxed, PBE.

Cell lengths 7.773, 8.948, 4.104 Å; angles 90.00, 90.00, 90.00 degrees
Space group Cmmm (No. 65)
Asymmetric unit:
Ba: 0.250 0.250 0.000
Tl: 0.000 0.000 0.500
Se: 0.000 0.500 0.500

As for the total magnetization: 0.0 μB per formula unit. The energy above the most stable polymorph in this dataset is 132 meV per atom. The uncorrected formation energy is -0.94 eV/atom. The mass density is 6.49 Mg/m³.

GdTmPd: relaxed, PBE.

Cell lengths 3.560, 3.560, 11.807 Å; angles 90.00, 90.00, 90.00 degrees
Space group I4mm (No. 107)
Asymmetric unit:
Gd: 0.000 0.000 0.000
Tm: 0.000 0.000 0.284
Pd: 0.000 0.000 0.655

As for the total magnetization: 7.9 μB per formula unit. The energy above the most stable polymorph in this dataset is 0 meV per atom. The mass density is 9.60 Mg/m³. As for the formation energy: -0.564 eV per atom.

Er2AlCu4Si3: relaxed, PBE.

Cell lengths 3.964, 3.964, 10.101 Å; angles 90.00, 90.00, 90.00 degrees
Space group P-4m2 (No. 115)
Asymmetric unit:
Er: 0.000 0.500 0.240
Al: 0.000 0.000 0.500
Cu: 0.000 0.000 0.000
Cu: 0.000 0.500 0.640
Cu: 0.500 0.500 0.000
Si: 0.000 0.500 0.868
Si: 0.500 0.500 0.500

As for the total magnetization: 0.0 μB per formula unit. The uncorrected formation energy is -0.54 eV/atom. The mass density is 7.32 Mg/m³.

TcTe2RhI: relaxed, PBE.

Cell lengths 5.067, 5.067, 5.708 Å; angles 90.00, 90.00, 90.00 degrees
Space group P4/mmm (No. 123)
Asymmetric unit:
Tc: 0.000 0.000 0.000
Te: 0.000 0.500 0.000
Rh: 0.500 0.500 0.500
I: 0.000 0.000 0.500

As for the total magnetization: 1.5 μB per formula unit. The energy above the most stable polymorph in this dataset is 53 meV per atom. The uncorrected formation energy is 1.01 eV/atom. The mass density is 6.61 Mg/m³.

MgZnSi4: relaxed, PBE.

Cell lengths 7.276, 7.276, 7.276 Å; angles 90.00, 90.00, 90.00 degrees
Space group F-43m (No. 216)
Asymmetric unit:
Mg: 0.000 0.000 0.000
Zn: 0.250 0.250 0.250
Si: 0.125 0.125 0.625

As for the total magnetization: 0.0 μB per formula unit. The uncorrected formation energy is 0.30 eV/atom. The mass density is 3.48 Mg/m³.

AlInP2O: relaxed, PBE.

Cell lengths 5.140, 5.140, 3.946 Å; angles 90.00, 90.00, 90.00 degrees
Space group P4/mmm (No. 123)
Asymmetric unit:
Al: 0.000 0.000 0.000
In: 0.500 0.500 0.500
P: 0.000 0.500 0.500
O: 0.500 0.500 0.000

As for the total magnetization: 0.0 μB per formula unit. The energy above the most stable polymorph in this dataset is 930 meV per atom. The uncorrected formation energy is 0.63 eV/atom. The mass density is 3.50 Mg/m³.

Ba2Li2Re: relaxed, PBE.

Cell lengths 6.142, 6.142, 7.736 Å; angles 90.00, 90.00, 90.00 degrees
Space group I4/mmm (No. 139)
Asymmetric unit:
Ba: 0.000 0.500 0.250
Li: 0.000 0.000 0.160
Re: 0.000 0.000 0.500

As for the total magnetization: 1.1 μB per formula unit. The energy above the most stable polymorph in this dataset is 47 meV per atom. The mass density is 5.40 Mg/m³. As for the formation energy: 0.882 eV per atom.

BaCd2Cl: relaxed, PBE.

Cell lengths 4.431, 4.431, 6.399 Å; angles 90.00, 90.00, 90.00 degrees
Space group P4/mmm (No. 123)
Asymmetric unit:
Ba: 0.000 0.000 0.000
Cd: 0.000 0.500 0.500
Cl: 0.500 0.500 0.000

As for the total magnetization: 0.0 μB per formula unit. The energy above the most stable polymorph in this dataset is 0 meV per atom. The uncorrected formation energy is -0.86 eV/atom. The mass density is 5.26 Mg/m³.

ZnCd2Os: relaxed, PBE.

Cell lengths 2.888, 4.940, 9.906 Å; angles 90.00, 90.00, 90.00 degrees
Space group Cmmm (No. 65)
Asymmetric unit:
Zn: 0.000 0.000 0.000
Cd: 0.000 0.500 0.253
Os: 0.000 0.000 0.500

As for the total magnetization: 0.0 μB per formula unit. The mass density is 11.29 Mg/m³. As for the formation energy: 0.467 eV per atom.

CaCdSi2Pt5: relaxed, PBE.

Cell lengths 4.026, 4.026, 11.202 Å; angles 90.00, 90.00, 90.00 degrees
Space group P4/mmm (No. 123)
Asymmetric unit:
Ca: 0.000 0.000 0.000
Cd: 0.000 0.000 0.500
Si: 0.500 0.500 0.209
Pt: 0.000 0.500 0.320
Pt: 0.500 0.500 0.000

As for the total magnetization: 0.0 μB per formula unit. The uncorrected formation energy is -0.64 eV/atom. The mass density is 10.83 Mg/m³.

What is the mass density in the second record?
3.87 Mg/m³